[1]
Here is crystalline HfZrTe at its relaxed geometry from Alexandria. Energies are from GGA-PBE.

```
HfZrTe
1.0
3.2023 0.0000 0.0000
0.0000 5.0348 0.0000
0.0000 -2.5174 4.3603
Te Hf Zr
1 1 1
Direct
0.3122 0.3333 0.6667
0.0998 0.0000 0.0000
0.5880 0.6667 0.3333
```

Relative energy among the computed polymorphs: 0.445 eV/atom
Space-group type: P3m1
Formation energy without anion corrections: -0.10 eV/f.u.

[2]
Here is crystalline BaNaTa at its relaxed geometry from Alexandria. Energies are from GGA-PBE.

```
BaNaTa
1.0
3.5092 0.0512 0.0026
1.5416 9.8764 0.0356
1.7199 1.6771 5.9922
Na Ba Ta
2 2 2
Direct
0.7362 0.2370 0.3714
0.4045 0.7985 0.4946
0.4182 0.4352 0.8093
0.0871 0.9966 0.9459
0.1191 0.5597 0.2949
0.6961 0.6939 0.0113
```

Relative energy among the computed polymorphs: 0.357 eV/atom
Space-group type: P1
E_form: 0.741 eV/atom

[3]
Here is crystalline Er2Al5Cu4 at its relaxed geometry from Alexandria. Energies are from GGA-PBE.

```
Er2Al5Cu4
1.0
5.4299 0.0000 0.0000
2.7150 4.6843 0.0000
2.7150 0.0000 7.4921
Er Al Cu
2 5 4
Direct
0.8655 0.0000 0.2689
0.1345 0.0000 0.7311
0.5000 0.0000 0.0000
0.0000 0.5000 0.0000
0.5000 0.5000 0.0000
0.2500 0.5000 0.5000
0.7500 0.5000 0.5000
0.4930 0.2826 0.7313
0.5070 0.7174 0.2687
0.2243 0.2826 0.2687
0.7757 0.7174 0.7313
```

Space-group type: Fmmm
E_form: -0.319 eV/atom

[4]
Here is crystalline Zr2AlZnH at its relaxed geometry from Alexandria. Energies are from GGA-PBE.

```
Zr2AlZnH
1.0
-2.4836 -3.5419 0.0189
1.3219 -0.9483 -4.0084
3.1538 -2.2032 1.5613
H Zn Al Zr
1 1 1 2
Direct
0.0000 0.0000 0.0000
0.0000 0.0000 0.5000
0.5000 0.5000 0.5000
0.0000 0.5000 0.0000
0.5000 0.0000 0.0000
```

Relative energy among the computed polymorphs: 0.000 eV/atom
Space-group type: P4/mmm

[5]
Here is crystalline Al2Cr2Co at its relaxed geometry from Alexandria. Energies are from GGA-PBE.

```
Al2Cr2Co
1.0
-4.9661 2.4866 -2.8926
-3.0278 -5.4579 0.5064
-1.2302 0.9546 2.9327
Cr Co Al
4 2 4
Direct
0.1643 0.6643 0.5000
0.6643 0.8357 0.5000
0.8357 0.3357 0.5000
0.3357 0.1643 0.5000
0.0000 0.0000 0.0000
0.5000 0.5000 0.0000
0.3608 0.8608 0.0000
0.8608 0.6392 0.0000
0.6392 0.1392 0.0000
0.1392 0.3608 0.0000
```

Space-group type: P4/mbm
E_form: 0.234 eV/atom

[6]
Here is crystalline NiRu3 at its relaxed geometry from Alexandria. Energies are from GGA-PBE.

```
NiRu3
1.0
-0.4247 2.6535 0.3225
-0.2259 -1.1182 -2.4544
-8.1588 -1.4790 1.4247
Ru Ni
3 1
Direct
0.0000 0.0000 0.5000
0.3333 0.6667 0.2477
0.3333 0.6667 0.7523
0.0000 0.0000 0.0000
```

Space-group type: P-6m2
E_form: 0.075 eV/atom

[7]
Here is crystalline LaAgIr at its relaxed geometry from Alexandria. Energies are from GGA-PBE.

```
LaAgIr
1.0
4.0969 0.0000 0.0000
0.0000 3.8387 -0.8905
0.0000 0.0563 8.9620
La Ag Ir
2 2 2
Direct
0.2500 0.8998 0.7996
0.7500 0.1002 0.2004
0.7500 0.2896 0.5793
0.2500 0.7104 0.4207
0.2500 0.5462 0.0924
0.7500 0.4538 0.9076
```

Relative energy among the computed polymorphs: 0.000 eV/atom
Space-group type: Cmcm
E_form: -0.418 eV/atom

[8]
Here is crystalline Sc2TaHg2 at its relaxed geometry from Alexandria. Energies are from GGA-PBE.

```
Sc2TaHg2
1.0
8.0122 0.0000 0.0000
0.0000 8.0122 0.0000
0.0000 0.0000 3.3036
Sc Hg Ta
4 4 2
Direct
0.1736 0.6736 0.5000
0.6736 0.8264 0.5000
0.8264 0.3264 0.5000
0.3264 0.1736 0.5000
0.3708 0.8708 0.0000
0.8708 0.6292 0.0000
0.6292 0.1292 0.0000
0.1292 0.3708 0.0000
0.0000 0.0000 0.0000
0.5000 0.5000 0.0000
```

Relative energy among the computed polymorphs: 0.000 eV/atom
Space-group type: P4/mbm
E_form: 0.049 eV/atom

[9]
Here is crystalline MnNi2Sn at its relaxed geometry from Alexandria. Energies are from GGA-PBE.

```
MnNi2Sn
1.0
-2.4203 1.8658 0.7897
0.3505 -0.8260 3.0262
3.5881 4.3301 0.7663
Ni Mn Sn
2 1 1
Direct
0.0000 0.0000 0.7688
0.0000 0.0000 0.2312
0.5000 0.5000 0.0000
0.5000 0.5000 0.5000
```

Space-group type: P4/mmm
E_form: -0.049 eV/atom

[10]
Here is crystalline Pr4Nd2Al at its relaxed geometry from Alexandria. Energies are from GGA-PBE.

```
Pr4Nd2Al
1.0
-3.4373 0.0625 -1.4356
-0.4759 -0.0062 -3.6950
-1.7026 -19.9320 -1.6256
Pr Nd Al
4 2 1
Direct
0.7052 0.7052 0.8844
0.9086 0.9086 0.2741
0.2948 0.2948 0.1156
0.0914 0.0914 0.7259
0.8081 0.8081 0.5757
0.1919 0.1919 0.4243
0.0000 0.0000 0.0000
```

Space-group type: R-3m
E_form: -0.004 eV/atom

[11]
Here is crystalline MnSbH at its relaxed geometry from Alexandria. Energies are from GGA-PBE.

```
MnSbH
1.0
5.5545 0.0000 -0.0469
0.0000 3.1847 0.0000
-0.2528 0.0000 9.0182
Mn Sb H
4 4 4
Direct
0.0744 0.0000 0.0388
0.0744 0.5000 0.5388
0.5741 0.0000 0.1507
0.5741 0.5000 0.6507
0.7228 0.0000 0.4357
0.7228 0.5000 0.9357
0.2354 0.0000 0.7617
0.2354 0.5000 0.2617
0.8918 0.0000 0.1794
0.8918 0.5000 0.6794
0.1796 0.0000 0.4904
0.1796 0.5000 0.9904
```

Relative energy among the computed polymorphs: 0.101 eV/atom
Space-group type: Cm

[12]
Here is crystalline Ba2AsBr at its relaxed geometry from Alexandria. Energies are from GGA-PBE.

```
Ba2AsBr
1.0
-4.8439 5.0575 2.2115
-0.0889 -3.0134 6.6966
3.2994 5.6085 6.5945
As Ba Br
2 4 2
Direct
0.5000 0.5000 0.0000
0.2500 0.7500 0.5000
0.5986 0.1250 0.2500
0.1514 0.6250 0.2500
0.3750 0.4014 0.7500
0.8750 0.8486 0.7500
0.0000 0.0000 0.0000
0.7500 0.2500 0.5000
```

Space-group type: I-42d
Formation energy without anion corrections: -5.34 eV/f.u.

[13]
Here is crystalline LaNb2Os at its relaxed geometry from Alexandria. Energies are from GGA-PBE.

```
LaNb2Os
1.0
7.8625 0.0000 0.0000
0.0000 7.8625 0.0000
3.9313 3.9313 2.9577
Nb Os La
4 2 2
Direct
0.6859 0.1250 0.2500
0.0641 0.6250 0.2500
0.3750 0.3141 0.7500
0.8750 0.9359 0.7500
0.0000 0.0000 0.0000
0.7500 0.2500 0.5000
0.5000 0.5000 0.0000
0.2500 0.7500 0.5000
```

Relative energy among the computed polymorphs: 0.269 eV/atom
Space-group type: I-42d
E_form: 0.471 eV/atom

[14]
Here is crystalline KHfTeSe2 at its relaxed geometry from Alexandria. Energies are from GGA-PBE.

```
KHfTeSe2
1.0
5.2455 0.0000 0.0000
0.0000 5.2455 0.0000
0.0000 0.0000 5.6807
K Te Hf Se
1 1 1 2
Direct
0.5000 0.5000 0.5000
0.0000 0.0000 0.5000
0.0000 0.0000 0.0000
0.0000 0.5000 0.0000
0.5000 0.0000 0.0000
```

Space-group type: P4/mmm
Formation energy without anion corrections: -4.73 eV/f.u.

[15]
Here is crystalline PuNbPb2 at its relaxed geometry from Alexandria. Energies are from GGA-PBE.

```
PuNbPb2
1.0
4.5939 0.0000 0.0000
0.0000 4.6235 0.0000
0.0000 0.0000 4.6235
Pb Nb Pu
2 1 1
Direct
0.0000 0.0000 0.5000
0.0000 0.5000 0.0000
0.5000 0.0000 0.0000
0.5000 0.5000 0.5000
```

Space-group type: P4/mmm
E_form: 0.274 eV/atom

[16]
Here is crystalline BaUPa4N8 at its relaxed geometry from Alexandria. Energies are from GGA-PBE.

```
BaUPa4N8
1.0
-1.5944 -5.4556 -4.2907
4.7462 -2.2546 -4.8069
3.3104 -6.3971 0.9938
Ba U Pa N
1 1 4 8
Direct
0.0076 0.0076 0.9771
0.3716 0.3716 0.8851
0.5469 0.5469 0.3593
0.9999 0.5067 0.4934
0.5067 0.9999 0.4934
0.9999 0.9999 0.4934
0.3008 0.7440 0.6544
0.7440 0.3008 0.6544
0.3008 0.3008 0.6544
0.2373 0.2373 0.2880
0.7453 0.2091 0.3004
0.2091 0.7453 0.3004
0.7453 0.7453 0.3004
0.7846 0.7846 0.6462
```

Space-group type: R3m
Formation energy without anion corrections: -18.22 eV/f.u.

[17]
Here is crystalline SrLaAl4 at its relaxed geometry from Alexandria. Energies are from GGA-PBE.

```
SrLaAl4
1.0
5.7927 0.0000 0.0000
2.8963 5.0166 0.0000
2.8963 1.6722 4.7297
Al La Sr
4 1 1
Direct
0.6246 0.1262 0.6246
0.1262 0.6246 0.6246
0.6246 0.6246 0.6246
0.6246 0.6246 0.1262
0.2500 0.2500 0.2500
0.0000 0.0000 0.0000
```

Space-group type: F-43m
E_form: -0.371 eV/atom

[18]
Here is crystalline HfTaVRe at its relaxed geometry from Alexandria. Energies are from GGA-PBE.

```
HfTaVRe
1.0
-2.8854 -2.6053 -2.4096
1.6244 -3.3045 -2.7132
-0.6046 -4.3905 1.1302
Re V Hf Ta
1 1 1 1
Direct
0.7500 0.7500 0.7500
0.2500 0.2500 0.2500
0.5000 0.5000 0.5000
0.0000 0.0000 0.0000
```

Space-group type: F-43m
E_form: -0.176 eV/atom

[19]
Here is crystalline ReHg at its relaxed geometry from Alexandria. Energies are from GGA-PBE.

```
ReHg
1.0
2.9875 0.0000 0.0000
0.0000 2.9875 0.0000
0.0000 0.0000 8.5328
Hg Re
2 2
Direct
0.2500 0.2500 0.1532
0.7500 0.7500 0.8468
0.2500 0.2500 0.5849
0.7500 0.7500 0.4151
```

Relative energy among the computed polymorphs: 0.001 eV/atom
Space-group type: P4/nmm
E_form: 0.393 eV/atom

[20]
Here is crystalline Hg3BiPb7 at its relaxed geometry from Alexandria. Energies are from GGA-PBE.

```
Hg3BiPb7
1.0
-5.7021 -5.4068 0.3795
4.7554 -5.1199 -1.4929
-1.2752 1.8215 6.7906
Hg Bi Pb
3 1 7
Direct
0.7833 0.4986 0.5014
0.7833 0.4986 0.9972
0.7833 0.0028 0.5014
0.4266 0.3333 0.6667
0.1001 0.1613 0.8387
0.1001 0.1613 0.3226
0.1279 0.6667 0.3333
0.4701 0.8368 0.1632
0.4701 0.3264 0.1632
0.4701 0.8368 0.6736
0.1001 0.6774 0.8387
```

Relative energy among the computed polymorphs: 0.000 eV/atom
Space-group type: P3m1
E_form: 0.043 eV/atom